Record 1
A plane-wave DFT calculation with PBE was carried out for a geometry-optimized Sr2TiSn2 structure.

a = 9.480 Å, b = 9.480 Å, c = 3.567 Å
α = 90.00°, β = 90.00°, γ = 90.00°
Positions (direct):
Sr  0.127  0.373  0.000
Sr  0.373  0.873  0.000
Sr  0.627  0.127  0.000
Sr  0.873  0.627  0.000
Ti  0.000  0.000  0.000
Ti  0.500  0.500  0.000
Sn  0.174  0.674  0.500
Sn  0.326  0.174  0.500
Sn  0.674  0.826  0.500
Sn  0.826  0.326  0.500

Results
**Polymorph energy (0 for the lowest one)**: 0.444 eV per atom
**Space group**: P4/mbm
**Total magnetization**: 0.415 μB/atom



Record 2
A plane-wave DFT calculation with PBE was carried out for a geometry-optimized SbMoP2 structure.

a = 5.608 Å, b = 5.608 Å, c = 5.608 Å
α = 149.18°, β = 120.85°, γ = 68.19°
Positions (direct):
Sb  0.000  0.000  0.000
Mo  0.500  0.500  0.000
P  0.294  0.794  0.500
P  0.706  0.206  0.500

Results
**E_form (uncorrected)**: 0.421 eV per atom
**Space group**: Immm
**Total magnetization**: 0.000 μB/atom



Record 3
A plane-wave DFT calculation with PBE was carried out for a geometry-optimized Tb4CuCl5 structure.

a = 9.035 Å, b = 9.035 Å, c = 8.238 Å
α = 102.71°, β = 102.71°, γ = 24.67°
Positions (direct):
Tb  0.001  0.001  0.232
Tb  0.345  0.345  0.916
Tb  0.655  0.655  0.084
Tb  0.999  0.999  0.768
Cu  0.500  0.500  0.000
Cl  0.167  0.167  0.329
Cl  0.174  0.174  0.844
Cl  0.500  0.500  0.500
Cl  0.826  0.826  0.156
Cl  0.833  0.833  0.671

Results
**E_form (uncorrected)**: -1.524 eV per atom
**Space group**: C2/m
**Total magnetization**: 0.000 μB/atom



Record 4
A plane-wave DFT calculation with PBE was carried out for a geometry-optimized Ti2CrTe6 structure.

a = 7.778 Å, b = 7.778 Å, c = 9.451 Å
α = 111.40°, β = 111.40°, γ = 28.18°
Positions (direct):
Ti  0.164  0.164  0.326
Ti  0.836  0.836  0.674
Cr  0.500  0.500  0.000
Te  0.135  0.135  0.024
Te  0.194  0.194  0.638
Te  0.475  0.475  0.698
Te  0.525  0.525  0.302
Te  0.806  0.806  0.362
Te  0.865  0.865  0.976

Results
**Polymorph energy (0 for the lowest one)**: 0.000 eV per atom
**E_form (uncorrected)**: -0.528 eV per atom
**Space group**: C2/m
**Total magnetization**: 0.301 μB/atom



Record 5
A plane-wave DFT calculation with PBE was carried out for a geometry-optimized VSn2Sb structure.

a = 10.484 Å, b = 10.484 Å, c = 10.484 Å
α = 18.00°, β = 18.00°, γ = 18.00°
Positions (direct):
V  0.000  0.000  0.000
Sn  0.401  0.401  0.401
Sn  0.599  0.599  0.599
Sb  0.500  0.500  0.500

Results
**E_form (uncorrected)**: 0.204 eV per atom
**Space group**: R-3m
**Total magnetization**: 0.479 μB/atom



Record 6
A plane-wave DFT calculation with PBE was carried out for a geometry-optimized HgClO2 structure.

a = 7.193 Å, b = 7.193 Å, c = 7.193 Å
α = 143.35°, β = 143.35°, γ = 52.81°
Positions (direct):
Hg  0.000  0.000  0.000
Hg  0.750  0.250  0.500
Cl  0.250  0.750  0.500
Cl  0.500  0.500  0.000
O  0.151  0.625  0.026
O  0.375  0.401  0.526
O  0.599  0.125  0.974
O  0.875  0.849  0.474

Results
**Polymorph energy (0 for the lowest one)**: 0.675 eV per atom
**E_form (uncorrected)**: 0.571 eV per atom
**Space group**: I-42d
**Total magnetization**: 0.000 μB/atom



Record 7
A plane-wave DFT calculation with PBE was carried out for a geometry-optimized Bi2As2Pb structure.

a = 9.518 Å, b = 9.518 Å, c = 9.518 Å
α = 156.22°, β = 156.22°, γ = 33.89°
Positions (direct):
Bi  0.108  0.108  0.000
Bi  0.892  0.892  0.000
As  0.250  0.750  0.500
As  0.750  0.250  0.500
Pb  0.500  0.500  0.000

Results
**Polymorph energy (0 for the lowest one)**: 0.155 eV per atom
**Space group**: I4/mmm
**Total magnetization**: 0.000 μB/atom



Record 8
A plane-wave DFT calculation with PBE was carried out for a geometry-optimized NaNiRh2 structure.

a = 5.712 Å, b = 5.712 Å, c = 5.712 Å
α = 101.21°, β = 101.21°, γ = 127.67°
Positions (direct):
Na  0.000  0.000  0.000
Na  0.750  0.250  0.500
Ni  0.250  0.750  0.500
Ni  0.500  0.500  0.000
Rh  0.181  0.625  0.056
Rh  0.375  0.431  0.556
Rh  0.569  0.125  0.944
Rh  0.875  0.819  0.444

Results
**Polymorph energy (0 for the lowest one)**: 0.131 eV per atom
**Space group**: I-42d
**Total magnetization**: 0.287 μB/atom



Density of states at the Fermi level (computed, states/eV/cell): 5.3; 2.5; 4.5; 2.3; 2.7; 4.4; 3.1; 8.3